No. 1
A plane-wave DFT calculation with SCAN was carried out for a crystal of AsPdPtSe2 relaxed with PBEsol.

ΔE_f (raw): 0.9377 eV/atom

Lattice parameters (Å, degrees): 4.823 4.823 4.624 90.00 90.00 90.00
Space group P4/mmm (No. 123)
Inequivalent atoms, fractional coordinates:
As1 0.000 0.000 0.000
Pd1 0.000 0.000 0.500
Pt1 0.500 0.500 0.000
Se1 0.000 0.500 0.500


No. 2
A plane-wave DFT calculation with SCAN was carried out for a crystal of YAsPd2Pt relaxed with PBEsol.

Energy relative to the elements: -57.7 kJ/mol of atoms

Lattice parameters (Å, degrees): 4.619 4.619 4.670 90.00 90.00 90.00
Space group P4/mmm (No. 123)
Inequivalent atoms, fractional coordinates:
Y1 0.000 0.000 0.000
As1 0.500 0.500 0.500
Pd1 0.000 0.500 0.500
Pt1 0.500 0.500 0.000


No. 3
A plane-wave DFT calculation with SCAN was carried out for a crystal of RbAs2PdSe relaxed with PBEsol.

ΔE_f (raw): -0.0146 eV/atom

Lattice parameters (Å, degrees): 4.839 4.839 5.382 90.00 90.00 90.00
Space group P4/mmm (No. 123)
Inequivalent atoms, fractional coordinates:
Rb1 0.000 0.000 0.000
As1 0.000 0.500 0.500
Pd1 0.500 0.500 0.500
Se1 0.500 0.500 0.000


No. 4
A plane-wave DFT calculation with SCAN was carried out for a crystal of ReAsPd3 relaxed with PBEsol.

Energy relative to the elements: 91.5 kJ/mol of atoms

Lattice parameters (Å, degrees): 4.531 4.531 4.531 90.00 90.00 90.00
Space group Pm-3m (No. 221)
Inequivalent atoms, fractional coordinates:
Re1 0.000 0.000 0.000
As1 0.500 0.500 0.500
Pd1 0.000 0.500 0.500


No. 5
A plane-wave DFT calculation with SCAN was carried out for a crystal of ReAs2Pd relaxed with PBEsol.

Energy relative to the elements: 29.2 kJ/mol of atoms

Lattice parameters (Å, degrees): 6.233 6.233 6.233 90.00 90.00 90.00
Space group Fm-3m (No. 225)
Inequivalent atoms, fractional coordinates:
Re1 0.000 0.000 0.000
As1 0.250 0.250 0.250
Pd1 0.000 0.000 0.500


No. 6
A plane-wave DFT calculation with SCAN was carried out for a crystal of As2PdRhSe relaxed with PBEsol.

ΔE_f (raw): 0.8961 eV/atom

Lattice parameters (Å, degrees): 4.654 4.654 4.872 90.00 90.00 90.00
Space group P4/mmm (No. 123)
Inequivalent atoms, fractional coordinates:
As1 0.000 0.500 0.000
Pd1 0.000 0.000 0.000
Rh1 0.500 0.500 0.500
Se1 0.000 0.000 0.500


No. 7
A plane-wave DFT calculation with SCAN was carried out for a crystal of Ti2AsPdRh relaxed with PBEsol.

Energy relative to the elements: 27.4 kJ/mol of atoms

Lattice parameters (Å, degrees): 4.591 4.591 4.417 90.00 90.00 90.00
Space group P4/mmm (No. 123)
Inequivalent atoms, fractional coordinates:
Ti1 0.000 0.500 0.000
As1 0.000 0.000 0.000
Pd1 0.000 0.000 0.500
Rh1 0.500 0.500 0.500


No. 8
A plane-wave DFT calculation with SCAN was carried out for a crystal of As2PdRu relaxed with PBEsol.

Energy relative to the elements: 2.1 kJ/mol of atoms

Lattice parameters (Å, degrees): 6.196 6.196 6.196 90.00 90.00 90.00
Space group Fm-3m (No. 225)
Inequivalent atoms, fractional coordinates:
As1 0.250 0.250 0.250
Pd1 0.000 0.000 0.000
Ru1 0.000 0.000 0.500


No. 9
A plane-wave DFT calculation with SCAN was carried out for a crystal of As3PdRu relaxed with PBEsol.

Energy relative to the elements: 107.4 kJ/mol of atoms

Lattice parameters (Å, degrees): 4.673 4.673 4.673 90.00 90.00 90.00
Space group Pm-3m (No. 221)
Inequivalent atoms, fractional coordinates:
As1 0.000 0.000 0.500
Pd1 0.000 0.000 0.000
Ru1 0.500 0.500 0.500


No. 10
A plane-wave DFT calculation with SCAN was carried out for a crystal of AsPdS relaxed with PBEsol.

ΔE_f (raw): -0.4387 eV/atom

Lattice parameters (Å, degrees): 5.921 5.921 5.921 90.00 90.00 90.00
Space group P2_13 (No. 198)
Inequivalent atoms, fractional coordinates:
As1 0.116 0.116 0.116
Pd1 0.003 0.503 0.997
S1 0.108 0.392 0.608


No. 11
A plane-wave DFT calculation with SCAN was carried out for a crystal of TaAsPd2S relaxed with PBEsol.

ΔE_f (raw): 0.6997 eV/atom

Lattice parameters (Å, degrees): 4.887 4.887 4.496 90.00 90.00 90.00
Space group P4/mmm (No. 123)
Inequivalent atoms, fractional coordinates:
Ta1 0.000 0.000 0.000
As1 0.500 0.500 0.500
Pd1 0.000 0.500 0.000
S1 0.000 0.000 0.500


No. 12
A plane-wave DFT calculation with SCAN was carried out for a crystal of SbAsPd relaxed with PBEsol.

ΔE_f (raw): -0.3869 eV/atom

Lattice parameters (Å, degrees): 6.223 6.223 6.223 90.00 90.00 90.00
Space group P2_13 (No. 198)
Inequivalent atoms, fractional coordinates:
Sb1 0.122 0.378 0.622
As1 0.124 0.124 0.124
Pd1 0.010 0.990 0.490


No. 13
A plane-wave DFT calculation with SCAN was carried out for a crystal of Sb3AsPd relaxed with PBEsol.

ΔE_f (raw): 0.5602 eV/atom

Lattice parameters (Å, degrees): 5.113 5.113 5.113 90.00 90.00 90.00
Space group Pm-3m (No. 221)
Inequivalent atoms, fractional coordinates:
Sb1 0.000 0.000 0.500
As1 0.500 0.500 0.500
Pd1 0.000 0.000 0.000